No. 1
VASP calculation (PBE) on Ce5Ga2Rh2 after structural relaxation.

Raw total energy: -6.019 eV/atom

Lattice parameters (Å, degrees): 9.636 9.636 9.636 66.63 133.53 135.08
Sites, in units of the cell vectors:
Ce (0.161, 0.474, 0.011)
Ce (0.161, 0.649, 0.187)
Ce (0.175, 0.053, 0.228)
Ce (0.175, 0.447, 0.622)
Ce (0.463, 0.149, 0.989)
Ce (0.463, 0.974, 0.813)
Ce (0.550, 0.451, 0.599)
Ce (0.825, 0.553, 0.378)
Ce (0.825, 0.947, 0.772)
Ce (0.851, 0.951, 0.401)
Ga (0.617, 0.085, 0.380)
Ga (0.617, 0.738, 0.032)
Ga (0.706, 0.238, 0.620)
Ga (0.706, 0.585, 0.968)
Rh (0.017, 0.255, 0.262)
Rh (0.330, 0.330, 0.000)
Rh (0.330, 0.830, 0.500)
Rh (0.994, 0.755, 0.738)


No. 2
VASP calculation (PBE) on LaHoMgZr after structural relaxation.

Raw total energy: -4.788 eV/atom

Lattice parameters (Å, degrees): 5.429 5.429 5.429 60.00 60.00 60.00
Sites, in units of the cell vectors:
La (0.000, 0.000, 0.000)
Ho (0.500, 0.500, 0.500)
Mg (0.250, 0.250, 0.250)
Zr (0.750, 0.750, 0.750)


No. 3
VASP calculation (PBE) on NiWS3 after structural relaxation.

ΔE to the lowest computed polymorph: 338 meV per atom

Lattice parameters (Å, degrees): 4.333 4.333 4.333 90.00 90.00 90.00
Sites, in units of the cell vectors:
Ni (0.000, 0.000, 0.000)
W (0.500, 0.500, 0.500)
S (0.000, 0.000, 0.500)
S (0.000, 0.500, 0.000)
S (0.500, 0.000, 0.000)


No. 4
VASP calculation (PBE) on Mg5In6Hg after structural relaxation.

Raw total energy: -2.136 eV/atom

Lattice parameters (Å, degrees): 8.426 8.426 4.664 105.46 105.46 106.28
Sites, in units of the cell vectors:
Mg (0.000, 0.000, 0.000)
Mg (0.177, 0.823, 0.500)
Mg (0.352, 0.648, 0.000)
Mg (0.648, 0.352, 0.000)
Mg (0.823, 0.177, 0.500)
In (0.071, 0.410, 0.240)
In (0.228, 0.228, 0.725)
In (0.410, 0.071, 0.240)
In (0.590, 0.929, 0.760)
In (0.772, 0.772, 0.275)
In (0.929, 0.590, 0.760)
Hg (0.500, 0.500, 0.500)


No. 5
VASP calculation (PBE) on CaNi4Sn2 after structural relaxation.

Raw total energy: -5.080 eV/atom

Lattice parameters (Å, degrees): 6.730 6.730 6.730 110.01 110.01 108.40
Sites, in units of the cell vectors:
Ca (0.250, 0.250, 0.000)
Ca (0.750, 0.750, 0.000)
Ni (0.025, 0.525, 0.219)
Ni (0.194, 0.975, 0.500)
Ni (0.306, 0.806, 0.781)
Ni (0.475, 0.694, 0.500)
Ni (0.525, 0.306, 0.500)
Ni (0.694, 0.194, 0.219)
Ni (0.806, 0.025, 0.500)
Ni (0.975, 0.475, 0.781)
Sn (0.158, 0.342, 0.500)
Sn (0.342, 0.842, 0.185)
Sn (0.658, 0.158, 0.815)
Sn (0.842, 0.658, 0.500)


No. 6
VASP calculation (PBE) on ZrScTl2 after structural relaxation.

Raw total energy: -4.776 eV/atom

Lattice parameters (Å, degrees): 6.473 6.473 6.473 103.91 103.91 121.28
Sites, in units of the cell vectors:
Zr (0.000, 0.000, 0.000)
Zr (0.750, 0.250, 0.500)
Sc (0.250, 0.750, 0.500)
Sc (0.500, 0.500, 0.000)
Tl (0.129, 0.625, 0.004)
Tl (0.375, 0.379, 0.504)
Tl (0.621, 0.125, 0.996)
Tl (0.875, 0.871, 0.496)


No. 7
VASP calculation (PBE) on LiHPd2Pb after structural relaxation.

ΔE to the lowest computed polymorph: 176 meV per atom

Lattice parameters (Å, degrees): 4.000 4.000 4.671 90.00 90.00 90.00
Sites, in units of the cell vectors:
Li (0.000, 0.000, 0.000)
H (0.500, 0.500, 0.500)
Pd (0.000, 0.500, 0.500)
Pd (0.500, 0.000, 0.500)
Pb (0.500, 0.500, 0.000)


No. 8
VASP calculation (PBE) on KScF3 after structural relaxation.

ΔE to the lowest computed polymorph: 0 meV per atom

Lattice parameters (Å, degrees): 4.318 4.318 4.318 90.00 90.00 90.00
Sites, in units of the cell vectors:
K (0.000, 0.000, 0.000)
Sc (0.500, 0.500, 0.500)
F (0.000, 0.500, 0.500)
F (0.500, 0.000, 0.500)
F (0.500, 0.500, 0.000)


No. 9
VASP calculation (PBE) on SrLiInRh after structural relaxation.

ΔE to the lowest computed polymorph: 101 meV per atom

Lattice parameters (Å, degrees): 4.943 4.943 4.943 60.00 60.00 60.00
Sites, in units of the cell vectors:
Sr (0.000, 0.000, 0.000)
Li (0.750, 0.750, 0.750)
In (0.500, 0.500, 0.500)
Rh (0.250, 0.250, 0.250)


No. 10
VASP calculation (PBE) on PmNd6Sm2Tm after structural relaxation.

Raw total energy: -4.614 eV/atom

Lattice parameters (Å, degrees): 8.995 8.995 9.782 94.00 94.00 117.88
Sites, in units of the cell vectors:
Pm (0.022, 0.978, 0.750)
Pm (0.978, 0.022, 0.250)
Nd (0.011, 0.568, 0.689)
Nd (0.120, 0.755, 0.054)
Nd (0.245, 0.880, 0.446)
Nd (0.293, 0.507, 0.882)
Nd (0.432, 0.989, 0.811)
Nd (0.493, 0.707, 0.618)
Nd (0.507, 0.293, 0.382)
Nd (0.568, 0.011, 0.189)
Nd (0.707, 0.493, 0.118)
Nd (0.755, 0.120, 0.554)
Nd (0.880, 0.245, 0.946)
Nd (0.989, 0.432, 0.311)
Sm (0.200, 0.300, 0.544)
Sm (0.300, 0.200, 0.044)
Sm (0.700, 0.800, 0.956)
Sm (0.800, 0.700, 0.456)
Tm (0.410, 0.590, 0.250)
Tm (0.590, 0.410, 0.750)


No. 11
VASP calculation (PBE) on LaPt2I after structural relaxation.

ΔE to the lowest computed polymorph: 124 meV per atom

Lattice parameters (Å, degrees): 5.084 5.084 5.084 60.00 60.00 60.00
Sites, in units of the cell vectors:
La (0.000, 0.000, 0.000)
Pt (0.250, 0.250, 0.250)
Pt (0.750, 0.750, 0.750)
I (0.500, 0.500, 0.500)


No. 12
VASP calculation (PBE) on LaSm9Er2 after structural relaxation.

Raw total energy: -4.689 eV/atom

Lattice parameters (Å, degrees): 5.114 5.114 15.371 90.00 90.00 90.00
Sites, in units of the cell vectors:
La (0.000, 0.000, 0.000)
Sm (0.000, 0.500, 0.171)
Sm (0.000, 0.500, 0.500)
Sm (0.000, 0.500, 0.829)
Sm (0.500, 0.000, 0.171)
Sm (0.500, 0.000, 0.500)
Sm (0.500, 0.000, 0.829)
Sm (0.500, 0.500, 0.000)
Sm (0.500, 0.500, 0.336)
Sm (0.500, 0.500, 0.664)
Er (0.000, 0.000, 0.335)
Er (0.000, 0.000, 0.665)